[1]
Here is a PBEsol-optimized structure of ScZn2Se from Alexandria via LeMat-Bulk. Energies are from meta-GGA SCAN.

a b c (Å): 6.5546 6.5546 6.5546
angles (deg): 90.00 90.00 90.00
Positions (direct):
Sc 0.0000 0.0000 0.0000
Sc 0.0000 0.5000 0.5000
Sc 0.5000 0.0000 0.5000
Sc 0.5000 0.5000 0.0000
Zn 0.0000 0.0000 0.5000
Zn 0.0000 0.5000 0.0000
Zn 0.2500 0.2500 0.2500
Zn 0.2500 0.7500 0.7500
Zn 0.5000 0.0000 0.0000
Zn 0.5000 0.5000 0.5000
Zn 0.7500 0.2500 0.7500
Zn 0.7500 0.7500 0.2500
Se 0.2500 0.2500 0.7500
Se 0.2500 0.7500 0.2500
Se 0.7500 0.2500 0.2500
Se 0.7500 0.7500 0.7500

## Properties
energy: -15.613 eV/atom
total magnetization: 0.00 μB/cell
formation energy (no corrections): -1.11 eV per formula unit

[2]
Here is a PBEsol-optimized structure of ScZn2Se from Alexandria via LeMat-Bulk. Energies are from meta-GGA SCAN.

a b c (Å): 3.9917 3.9917 8.5701
angles (deg): 90.00 90.00 90.00
Positions (direct):
Sc 0.0000 0.0000 0.0000
Sc 0.5000 0.5000 0.5000
Zn 0.0000 0.0000 0.5000
Zn 0.0000 0.5000 0.2500
Zn 0.5000 0.0000 0.7500
Zn 0.5000 0.5000 0.0000
Se 0.0000 0.5000 0.7500
Se 0.5000 0.0000 0.2500

## Properties
energy: -15.816 eV/atom
total magnetization: 0.00 μB/cell
formation energy (no corrections): -1.92 eV per formula unit